Li2GeSI2 | PBE | optimized geometry

Results
density = 3.34 g/cm³
uncorrected formation energy = -0.804 eV per atom
N(E_F) = 0.00 states/eV per cell
E_tot = -3.416 eV per atom
total magnetization = 0.0 μB/f.u.

a b c (Å): 7.7948 7.7948 7.3641
angles (deg): 90.00 90.00 55.84
Atoms (fractional coordinates):
Li: 0.0687 0.6349 0.5000
Li: 0.3651 0.9313 0.5000
Li: 0.6349 0.0687 0.0000
Li: 0.9313 0.3651 0.0000
Ge: 0.3287 0.6713 0.0695
Ge: 0.6713 0.3287 0.5695
S: 0.3879 0.6121 0.4247
S: 0.6121 0.3879 0.9247
I: 0.0265 0.3190 0.3696
I: 0.3190 0.0265 0.8696
I: 0.6810 0.9735 0.3696
I: 0.9735 0.6810 0.8696

LiGeSb2I | PBE | optimized geometry

Results
density = 4.19 g/cm³
distance to the lowest polymorph of the same formula = 0 meV/atom
uncorrected formation energy = 0.322 eV per atom
N(E_F) = 4.60 states/eV per cell
E_tot = -2.943 eV per atom
total magnetization = 0.0 μB/f.u.

a b c (Å): 5.3854 5.3854 6.1529
angles (deg): 90.00 90.00 90.00
Atoms (fractional coordinates):
Li: 0.0000 0.0000 0.0000
Ge: 0.5000 0.5000 0.5000
Sb: 0.0000 0.5000 0.5000
Sb: 0.5000 0.0000 0.5000
I: 0.5000 0.5000 0.0000

LiSiGe2I | PBE | optimized geometry

Results
density = 3.10 g/cm³
uncorrected formation energy = 1.112 eV per atom
N(E_F) = 2.01 states/eV per cell
E_tot = -2.513 eV per atom
total magnetization = 0.0 μB/f.u.

a b c (Å): 5.5167 5.5167 5.4042
angles (deg): 90.00 90.00 90.00
Atoms (fractional coordinates):
Li: 0.0000 0.0000 0.0000
Si: 0.5000 0.5000 0.0000
Ge: 0.0000 0.5000 0.5000
Ge: 0.5000 0.0000 0.5000
I: 0.5000 0.5000 0.5000

LiSi2GeI | PBE | optimized geometry

Results
density = 3.83 g/cm³
uncorrected formation energy = 0.827 eV per atom
N(E_F) = 1.82 states/eV per cell
E_tot = -2.959 eV per atom
total magnetization = 0.0 μB/f.u.

a b c (Å): 4.5442 4.5442 5.5157
angles (deg): 90.00 90.00 90.00
Atoms (fractional coordinates):
Li: 0.0000 0.0000 0.0000
Si: 0.0000 0.5000 0.0000
Si: 0.5000 0.0000 0.0000
Ge: 0.5000 0.5000 0.5000
I: 0.0000 0.0000 0.5000

Li2SnGeI6 | PBE | optimized geometry

Results
density = 4.43 g/cm³
uncorrected formation energy = -0.694 eV per atom
N(E_F) = 0.00 states/eV per cell
E_tot = -2.869 eV per atom
total magnetization = 0.0 μB/f.u.

a b c (Å): 8.3502 8.3502 8.3502
angles (deg): 54.82 54.82 54.82
Atoms (fractional coordinates):
Li: 0.0000 0.0000 0.0000
Li: 0.4915 0.4915 0.4915
Sn: 0.1756 0.1756 0.1756
Ge: 0.6697 0.6697 0.6697
I: 0.1025 0.3976 0.7610
I: 0.2698 0.8785 0.6224
I: 0.3976 0.7610 0.1025
I: 0.6224 0.2698 0.8785
I: 0.7610 0.1025 0.3976
I: 0.8785 0.6224 0.2698

Li3Tl2GeI8 | PBE | optimized geometry

Results
density = 4.48 g/cm³
uncorrected formation energy = -0.691 eV per atom
N(E_F) = 6.70 states/eV per cell
E_tot = -2.655 eV per atom
total magnetization = 0.0 μB/f.u.

a b c (Å): 9.4841 9.4841 9.4841
angles (deg): 57.08 57.08 57.08
Atoms (fractional coordinates):
Li: 0.0080 0.4960 0.4960
Li: 0.4960 0.0080 0.4960
Li: 0.4960 0.4960 0.0080
Tl: 0.1283 0.1283 0.1283
Tl: 0.4962 0.4962 0.4962
Ge: 0.8620 0.8620 0.8620
I: 0.2252 0.7639 0.7639
I: 0.2386 0.2386 0.7133
I: 0.2386 0.7133 0.2386
I: 0.2657 0.2657 0.2657
I: 0.7073 0.7073 0.7073
I: 0.7133 0.2386 0.2387
I: 0.7639 0.2252 0.7639
I: 0.7639 0.7639 0.2252

Li2TlGeI6 | PBE | optimized geometry

Results
density = 4.06 g/cm³
uncorrected formation energy = -0.649 eV per atom
N(E_F) = 9.08 states/eV per cell
E_tot = -2.660 eV per atom
total magnetization = 0.8 μB/f.u.

a b c (Å): 10.7259 10.7259 8.6386
angles (deg): 111.19 111.19 78.23
Atoms (fractional coordinates):
Li: 0.0069 0.1365 0.1584
Li: 0.1365 0.0069 0.6584
Li: 0.8635 0.9931 0.3416
Li: 0.9931 0.8635 0.8416
Tl: 0.3319 0.6681 0.7500
Tl: 0.6681 0.3319 0.2500
Ge: 0.3198 0.6802 0.2500
Ge: 0.6802 0.3198 0.7500
I: 0.0221 0.2086 0.5061
I: 0.1044 0.6306 0.9403
I: 0.2086 0.0221 0.0061
I: 0.3210 0.4504 0.3077
I: 0.3694 0.8956 0.5597
I: 0.4504 0.3210 0.8077
I: 0.5496 0.6790 0.1923
I: 0.6306 0.1044 0.4403
I: 0.6790 0.5496 0.6923
I: 0.7914 0.9779 0.9939
I: 0.8956 0.3694 0.0597
I: 0.9779 0.7914 0.4939

LiTlGe2I6 | PBE | optimized geometry

Results
density = 4.54 g/cm³
uncorrected formation energy = -0.501 eV per atom
N(E_F) = 0.00 states/eV per cell
E_tot = -2.783 eV per atom
total magnetization = 0.0 μB/f.u.

a b c (Å): 10.5829 10.5829 7.8712
angles (deg): 105.58 105.58 84.13
Atoms (fractional coordinates):
Li: 0.2089 0.7911 0.7500
Li: 0.7911 0.2089 0.2500
Tl: 0.0987 0.9013 0.2500
Tl: 0.9013 0.0987 0.7500
Ge: 0.1941 0.3436 0.9258
Ge: 0.3436 0.1941 0.4258
Ge: 0.6564 0.8059 0.5742
Ge: 0.8059 0.6564 0.0742
I: 0.0500 0.2247 0.4983
I: 0.1382 0.6138 0.9252
I: 0.2247 0.0500 0.9983
I: 0.3192 0.4261 0.3178
I: 0.3862 0.8618 0.5748
I: 0.4261 0.3192 0.8178
I: 0.5739 0.6808 0.1822
I: 0.6138 0.1382 0.4252
I: 0.6808 0.5739 0.6822
I: 0.7753 0.9500 0.0017
I: 0.8618 0.3862 0.0748
I: 0.9500 0.7753 0.5017

Mg3GeI8 | PBE | optimized geometry

Results
density = 4.04 g/cm³
uncorrected formation energy = -0.863 eV per atom
N(E_F) = 0.00 states/eV per cell
E_tot = -2.680 eV per atom
total magnetization = 0.0 μB/f.u.

a b c (Å): 8.4669 8.4669 9.1553
angles (deg): 118.17 118.17 60.02
Atoms (fractional coordinates):
Mg: 0.0000 0.0000 0.0000
Mg: 0.0000 0.5000 0.0000
Mg: 0.5000 0.0000 0.0000
Ge: 0.5000 0.5000 0.0000
I: 0.2343 0.7455 0.2206
I: 0.2407 0.2407 0.2172
I: 0.2545 0.7657 0.7794
I: 0.2546 0.2546 0.7794
I: 0.7454 0.7454 0.2206
I: 0.7455 0.2343 0.2206
I: 0.7593 0.7593 0.7828
I: 0.7657 0.2545 0.7794

MgGe3I | PBE | optimized geometry

Results
density = 4.41 g/cm³
distance to the lowest polymorph of the same formula = 0 meV/atom
uncorrected formation energy = 0.667 eV per atom
N(E_F) = 4.70 states/eV per cell
E_tot = -2.732 eV per atom
total magnetization = 0.0 μB/f.u.

a b c (Å): 5.1810 5.1810 5.1810
angles (deg): 90.00 90.00 90.00
Atoms (fractional coordinates):
Mg: 0.0000 0.0000 0.0000
Ge: 0.0000 0.0000 0.5000
Ge: 0.0000 0.5000 0.0000
Ge: 0.5000 0.0000 0.0000
I: 0.5000 0.5000 0.5000

MgGeI4 | PBE | optimized geometry

Results
density = 4.23 g/cm³
uncorrected formation energy = -0.683 eV per atom
N(E_F) = 0.00 states/eV per cell
E_tot = -2.751 eV per atom
total magnetization = 0.0 μB/f.u.

a b c (Å): 8.6410 8.6410 7.4088
angles (deg): 114.81 114.81 28.44
Atoms (fractional coordinates):
Mg: 0.0000 0.0000 0.0000
Ge: 0.5000 0.5000 0.5000
I: 0.1138 0.1138 0.7875
I: 0.3884 0.3884 0.7305
I: 0.6116 0.6116 0.2695
I: 0.8862 0.8862 0.2125

MgGe2I8 | PBE | optimized geometry

Results
density = 3.43 g/cm³
uncorrected formation energy = -0.416 eV per atom
E_tot = -2.528 eV per atom
total magnetization = 0.0 μB/f.u.

a b c (Å): 9.1641 9.1641 7.0310
angles (deg): 97.79 97.79 81.29
Atoms (fractional coordinates):
Mg: 0.0000 0.0000 0.0000
Ge: 0.2044 0.2044 0.6944
Ge: 0.7956 0.7956 0.3056
I: 0.0787 0.7377 0.2061
I: 0.1863 0.1863 0.3024
I: 0.2623 0.9213 0.7939
I: 0.3968 0.3968 0.8842
I: 0.6032 0.6032 0.1158
I: 0.7377 0.0787 0.2061
I: 0.8137 0.8137 0.6976
I: 0.9213 0.2623 0.7939